Record 1
ThAl2CdAg | PBE-GGA | relaxed

Output
Raw total energy: -20.08 eV/cell
Energy relative to the elements: -0.282 eV/atom
Density: 7.8 g/cm³

a b c (Å): 4.3519 4.3519 6.4555
angles (deg): 109.70 109.70 90.00
Fractional coordinates of all 5 atoms:
Cd 0.2500 0.7500 0.5000
Al 0.6105 0.6105 0.2210
Al 0.3895 0.3895 0.7790
Th 0.0000 0.0000 0.0000
Ag 0.7500 0.2500 0.5000

Record 2
Ac2SiNi | PBE-GGA | relaxed

Output
Raw total energy: -20.34 eV/cell
Energy relative to the elements, uncorrected: -0.23 eV/atom
Density: 8.4 g/cm³

a b c (Å): 3.7493 3.7493 7.6318
angles (deg): 90.00 90.00 90.00
Fractional coordinates of all 4 atoms:
Si 0.5000 0.5000 0.5000
Ac 0.0000 0.0000 0.7571
Ac 0.0000 0.0000 0.2429
Ni 0.5000 0.5000 0.0000

Record 3
LaPrSeS | PBE-GGA | relaxed

Output
Raw total energy: -25.40 eV/cell
Energy relative to the elements, uncorrected: -2.02 eV/atom
Density: 6.1 g/cm³

a b c (Å): 4.2037 4.2037 7.3210
angles (deg): 73.32 73.32 60.00
Fractional coordinates of all 4 atoms:
La 0.9935 0.9935 0.0195
Pr 0.5067 0.5067 0.4799
S 0.2493 0.2493 0.2522
Se 0.7505 0.7505 0.7484

Record 4
AlMo3 | PBE-GGA | relaxed

Output
Raw total energy: -36.05 eV/cell
Energy relative to the elements: 0.046 eV/atom
ΔE to the lowest computed polymorph: 299 meV/atom
Density: 8.3 g/cm³

a b c (Å): 2.6620 4.4279 5.3417
angles (deg): 90.00 90.00 90.00
Fractional coordinates of all 4 atoms:
Mo 0.5000 0.5000 0.2433
Mo 0.5000 0.5000 0.7567
Mo 0.0000 0.0000 0.5000
Al 0.0000 0.0000 0.0000

Record 5
RbLiMn2Ni | PBE-GGA | relaxed

Output
Raw total energy: -19.53 eV/cell
Energy relative to the elements: 1.494 eV/atom
Density: 3.6 g/cm³

a b c (Å): 4.8142 5.2107 4.8142
angles (deg): 90.00 90.00 90.00
Last column: magnetic moment on the atom in μB.
Fractional coordinates of all 5 atoms:
Mn 0.5000 0.0000 0.0000  3.95
Mn 0.0000 0.0000 0.5000  4.11
Li 0.0000 0.0000 0.0000  -0.07
Rb 0.0000 0.5000 0.0000  -0.01
Ni 0.5000 0.5000 0.5000  0.58

Record 6
ReHgAs2 | PBE-GGA | relaxed

Output
Raw total energy: -40.56 eV/cell
Energy relative to the elements: 0.443 eV/atom
Density: 8.6 g/cm³

a b c (Å): 6.0708 6.0708 7.0695
angles (deg): 64.57 64.57 90.00
Fractional coordinates of all 8 atoms:
Re 0.2500 0.7500 0.5000
Re 0.5000 0.5000 0.0000
As 0.1818 0.6250 0.2500
As 0.8750 0.8182 0.7500
As 0.5682 0.1250 0.2500
As 0.3750 0.4318 0.7500
Hg 0.0000 0.0000 0.0000
Hg 0.7500 0.2500 0.5000

Record 7
YSiIr2 | PBE-GGA | relaxed

Output
Raw total energy: -31.71 eV/cell
Energy relative to the elements, uncorrected: -0.53 eV/atom
Density: 12.1 g/cm³

a b c (Å): 4.8588 4.8588 4.8588
angles (deg): 134.31 119.83 78.70
Fractional coordinates of all 4 atoms:
Si 0.7500 0.2500 0.5000
Y 0.2500 0.7500 0.5000
Ir 0.9592 0.9592 0.0000
Ir 0.5408 0.5408 0.0000

Record 8
Cr4Pt | PBE-GGA | relaxed

Output
Raw total energy: -38.47 eV/cell
Energy relative to the elements: 1.213 eV/atom
ΔE to the lowest computed polymorph: 1177 meV/atom
Density: 6.3 g/cm³

a b c (Å): 5.1726 5.1726 5.1726
angles (deg): 109.47 109.47 109.47
Last column: magnetic moment on the atom in μB.
Fractional coordinates of all 5 atoms:
Cr 0.5000 0.5000 0.5000  3.64
Cr 0.5000 0.0000 0.0000  3.64
Cr 0.0000 0.0000 0.5000  3.64
Cr 0.0000 0.5000 0.0000  3.64
Pt 0.0000 0.0000 0.0000  0.14

Record 9
KCdPd3 | PBE-GGA | relaxed

Output
Raw total energy: -15.59 eV/cell
Energy relative to the elements: 0.399 eV/atom
ΔE to the lowest computed polymorph: 0 meV/atom
Density: 5.8 g/cm³

a b c (Å): 5.1170 5.1170 5.1170
angles (deg): 90.00 90.00 90.00
Fractional coordinates of all 5 atoms:
K 0.5000 0.5000 0.5000
Pd 0.5000 0.0000 0.0000
Pd 0.0000 0.0000 0.5000
Pd 0.0000 0.5000 0.0000
Cd 0.0000 0.0000 0.0000

Record 10
ZnCuP | PBE-GGA | relaxed

Output
Raw total energy: -44.00 eV/cell
Energy relative to the elements: -0.073 eV/atom
Density: 5.3 g/cm³

a b c (Å): 7.1314 3.8552 7.2642
angles (deg): 90.00 93.61 90.00
Fractional coordinates of all 12 atoms:
P 0.1966 0.0000 0.1709
P 0.7073 0.5000 0.3222
P 0.7073 0.0000 0.8222
P 0.1966 0.5000 0.6709
Cu 0.1986 0.0000 0.4887
Cu 0.0320 0.0000 0.7892
Cu 0.1986 0.5000 0.9887
Cu 0.0320 0.5000 0.2892
Zn 0.5086 0.5000 0.8003
Zn 0.8360 0.5000 0.6283
Zn 0.8360 0.0000 0.1283
Zn 0.5086 0.0000 0.3003